# 1
# PaClF4 GGA-PBE relaxed
# E (eV/cell): -77.3
# Magnetic moment (μB/cell): 0.154
# DOS at the Fermi energy (states/eV per cell): 0.00
# Crystal system: monoclinic
# Energy above the most stable polymorph in this dataset (meV/atom): 0.0
data_PaClF4
_space_group_name_H-M_alt 'C 1 2/m 1'
_space_group_IT_number 12
_space_group_name_Hall '-C 2y'
_cell_length_a 11.416
_cell_length_b 3.981
_cell_length_c 5.590
_cell_angle_alpha 90.00
_cell_angle_beta 117.96
_cell_angle_gamma 90.00
loop_
_atom_site_label
_atom_site_fract_x
_atom_site_fract_y
_atom_site_fract_z
_atom_site_occupancy
Pa1 0.000 0.000 0.000 1
Cl1 0.000 0.000 0.500 1
F1 0.082 0.500 0.929 1
F2 0.195 0.000 0.271 1

# 2
# PaCl3F4 GGA-PBE relaxed
# E (eV/cell): -82.2
# Magnetic moment (μB/cell): 0.000
# DOS at the Fermi energy (states/eV per cell): 5.70
# Crystal system: orthorhombic
data_PaCl3F4
_space_group_name_H-M_alt 'P m n 21'
_space_group_IT_number 31
_space_group_name_Hall 'P 2ac -2'
_cell_length_a 10.291
_cell_length_b 7.556
_cell_length_c 4.542
_cell_angle_alpha 90.00
_cell_angle_beta 90.00
_cell_angle_gamma 90.00
loop_
_atom_site_label
_atom_site_fract_x
_atom_site_fract_y
_atom_site_fract_z
_atom_site_occupancy
Pa1 0.000 0.175 0.000 1
Cl1 0.000 0.510 0.256 1
Cl2 0.161 0.491 0.751 1
F1 0.000 0.140 0.504 1
F2 0.000 0.906 0.979 1
F3 0.194 0.141 0.065 1

# 3
# PaCl3F GGA-PBE relaxed
# E (eV/cell): -113.6
# Magnetic moment (μB/cell): 4.009
# DOS at the Fermi energy (states/eV per cell): 10.82
# Crystal system: orthorhombic
# Energy above the most stable polymorph in this dataset (meV/atom): 0.0
data_PaCl3F
_space_group_name_H-M_alt 'C m c m'
_space_group_IT_number 63
_space_group_name_Hall '-C 2c 2'
_cell_length_a 5.495
_cell_length_b 12.463
_cell_length_c 8.574
_cell_angle_alpha 90.00
_cell_angle_beta 90.00
_cell_angle_gamma 90.00
loop_
_atom_site_label
_atom_site_fract_x
_atom_site_fract_y
_atom_site_fract_z
_atom_site_occupancy
Pa1 0.000 0.065 0.250 1
Cl1 0.000 0.122 0.561 1
Cl2 0.000 0.445 0.750 1
F1 0.000 0.229 0.250 1

# 4
# PmPaCl2F6 GGA-PBE relaxed
# E (eV/cell): -246.4
# Magnetic moment (μB/cell): 0.066
# Crystal system: cubic
data_PmPaCl2F6
_space_group_name_H-M_alt 'F m -3 m'
_space_group_IT_number 225
_space_group_name_Hall '-F 4 2 3'
_cell_length_a 8.950
_cell_length_b 8.950
_cell_length_c 8.950
_cell_angle_alpha 90.00
_cell_angle_beta 90.00
_cell_angle_gamma 90.00
loop_
_atom_site_label
_atom_site_fract_x
_atom_site_fract_y
_atom_site_fract_z
_atom_site_occupancy
Pm1 0.000 0.000 0.000 1
Pa1 0.000 0.000 0.500 1
Cl1 0.250 0.250 0.250 1
F1 0.000 0.000 0.260 1

# 5
# Rb2PaCl2F4 GGA-PBE relaxed
# E (eV/cell): -97.4
# Magnetic moment (μB/cell): 2.000
# Crystal system: tetragonal
data_Rb2PaCl2F4
_space_group_name_H-M_alt 'I 4/m m m'
_space_group_IT_number 139
_space_group_name_Hall '-I 4 2'
_cell_length_a 6.973
_cell_length_b 6.973
_cell_length_c 10.141
_cell_angle_alpha 90.00
_cell_angle_beta 90.00
_cell_angle_gamma 90.00
loop_
_atom_site_label
_atom_site_fract_x
_atom_site_fract_y
_atom_site_fract_z
_atom_site_occupancy
Rb1 0.000 0.500 0.250 1
Pa1 0.000 0.000 0.000 1
Cl1 0.000 0.000 0.269 1
F1 0.219 0.219 0.000 1

# 6
# Rb2PaCl4F2 GGA-PBE relaxed
# E (eV/cell): -89.9
# Magnetic moment (μB/cell): 2.000
# Crystal system: monoclinic
data_Rb2PaCl4F2
_space_group_name_H-M_alt 'C 1 2/m 1'
_space_group_IT_number 12
_space_group_name_Hall '-C 2y'
_cell_length_a 11.958
_cell_length_b 7.780
_cell_length_c 5.758
_cell_angle_alpha 90.00
_cell_angle_beta 100.25
_cell_angle_gamma 90.00
loop_
_atom_site_label
_atom_site_fract_x
_atom_site_fract_y
_atom_site_fract_z
_atom_site_occupancy
Rb1 0.168 0.000 0.322 1
Pa1 0.000 0.500 0.000 1
Cl1 0.103 0.246 0.796 1
F1 0.140 0.500 0.285 1